This record from the Alexandria database describes PmHg5Pb2 after structural relaxation. The functional is PBE.

Cell lengths 8.398, 8.398, 8.662 Å; angles 119.00, 119.00, 90.00 degrees
Positions (direct):
Pm1 0.750 0.750 0.500
Pm2 0.250 0.250 0.500
Hg1 0.476 0.678 0.654
Hg2 0.822 0.024 0.346
Hg3 0.000 0.000 0.000
Hg4 0.500 0.500 0.000
Hg5 0.178 0.976 0.654
Hg6 0.678 0.178 0.654
Hg7 0.976 0.476 0.654
Hg8 0.322 0.822 0.346
Hg9 0.024 0.524 0.346
Hg10 0.524 0.322 0.346
Pb1 0.146 0.354 0.000
Pb2 0.646 0.146 0.000
Pb3 0.354 0.854 0.000
Pb4 0.854 0.646 0.000

Results
For the distance to the lowest polymorph of the same formula, the calculation gives 95 meV per atom.